No. 1
First-principles (PBE) data for a relaxed K2AlIn crystal, as listed in Alexandria.

Lattice parameters (Å, degrees): 7.099 7.099 6.189 115.02 115.02 31.53
Atoms (fractional coordinates):
K (0.000, 0.000, 0.000)
K (0.192, 0.192, 0.688)
Al (0.758, 0.758, 0.249)
In (0.425, 0.425, 0.428)

Properties
Crystal system: monoclinic
Electronic total energy: -2.059 eV/atom
Space group: Cm, No. 8
DFT formation energy: 0.110 eV per atom

No. 2
First-principles (PBE) data for a relaxed SiSIO2 crystal, as listed in Alexandria.

Lattice parameters (Å, degrees): 3.587 3.587 6.263 90.00 90.00 90.00
Atoms (fractional coordinates):
Si (0.000, 0.000, 0.000)
S (0.500, 0.500, 0.500)
I (0.000, 0.000, 0.500)
O (0.000, 0.500, 0.000)
O (0.500, 0.000, 0.000)

Properties
Crystal system: tetragonal
Electronic total energy: -4.757 eV/atom
Space group: P4/mmm, No. 123
E_form (uncorrected): -0.553 eV/atom

No. 3
First-principles (PBE) data for a relaxed La2CuW crystal, as listed in Alexandria.

Lattice parameters (Å, degrees): 5.650 5.650 5.650 134.25 134.25 66.70
Atoms (fractional coordinates):
La (0.000, 0.000, 0.000)
La (0.750, 0.250, 0.500)
Cu (0.500, 0.500, 0.000)
W (0.250, 0.750, 0.500)

Properties
Crystal system: tetragonal
Electronic total energy: -6.166 eV/atom
Space group: I-4m2, No. 119
DFT formation energy: 0.560 eV per atom

No. 4
First-principles (PBE) data for a relaxed SbOF3 crystal, as listed in Alexandria.

Lattice parameters (Å, degrees): 6.634 7.909 8.326 94.06 112.83 110.18
Atoms (fractional coordinates):
Sb (0.019, 0.034, 0.210)
Sb (0.101, 0.337, 0.577)
Sb (0.899, 0.663, 0.423)
Sb (0.981, 0.966, 0.790)
O (0.017, 0.763, 0.678)
O (0.091, 0.895, 0.392)
O (0.909, 0.105, 0.608)
O (0.983, 0.237, 0.322)
F (0.036, 0.858, 0.016)
F (0.193, 0.477, 0.806)
F (0.194, 0.593, 0.507)
F (0.313, 0.115, 0.908)
F (0.348, 0.163, 0.273)
F (0.410, 0.343, 0.641)
F (0.590, 0.657, 0.359)
F (0.652, 0.837, 0.727)
F (0.687, 0.885, 0.092)
F (0.806, 0.407, 0.493)
F (0.807, 0.523, 0.194)
F (0.964, 0.142, 0.984)

Properties
Crystal system: triclinic
Electronic total energy: -4.895 eV/atom
Space group: P-1, No. 2
E_form (uncorrected): -1.956 eV/atom

No. 5
First-principles (PBE) data for a relaxed TbPr2YHo5 crystal, as listed in Alexandria.

Lattice parameters (Å, degrees): 9.973 9.973 9.973 128.71 128.71 75.47
Atoms (fractional coordinates):
Tb (0.250, 0.250, 0.000)
Tb (0.750, 0.750, 0.000)
Pr (0.118, 0.618, 0.737)
Pr (0.382, 0.118, 0.500)
Pr (0.618, 0.882, 0.500)
Pr (0.882, 0.382, 0.263)
Y (0.250, 0.750, 0.500)
Y (0.750, 0.250, 0.500)
Ho (0.000, 0.000, 0.000)
Ho (0.073, 0.145, 0.500)
Ho (0.145, 0.645, 0.072)
Ho (0.355, 0.427, 0.500)
Ho (0.427, 0.927, 0.072)
Ho (0.500, 0.500, 0.000)
Ho (0.573, 0.073, 0.928)
Ho (0.645, 0.573, 0.500)
Ho (0.855, 0.355, 0.928)
Ho (0.927, 0.855, 0.500)

Properties
Crystal system: tetragonal
Electronic total energy: -4.570 eV/atom
Space group: I4/mcm, No. 140
DFT formation energy: 0.268 eV per atom

No. 6
First-principles (PBE) data for a relaxed CuTc2HgGe crystal, as listed in Alexandria.

Lattice parameters (Å, degrees): 4.724 4.724 4.321 90.00 90.00 90.00
Atoms (fractional coordinates):
Cu (0.000, 0.000, 0.000)
Tc (0.000, 0.500, 0.000)
Tc (0.500, 0.000, 0.000)
Hg (0.500, 0.500, 0.500)
Ge (0.000, 0.000, 0.500)

Properties
Crystal system: tetragonal
Electronic total energy: -4.671 eV/atom
Space group: P4/mmm, No. 123
DFT formation energy: 1.279 eV per atom

No. 7
First-principles (PBE) data for a relaxed TlGeSeN2 crystal, as listed in Alexandria.

Lattice parameters (Å, degrees): 3.915 3.915 5.592 90.00 90.00 90.00
Atoms (fractional coordinates):
Tl (0.000, 0.000, 0.000)
Ge (0.500, 0.500, 0.500)
Se (0.500, 0.500, 0.000)
N (0.000, 0.500, 0.500)
N (0.500, 0.000, 0.500)

Properties
Crystal system: tetragonal
Electronic total energy: -4.377 eV/atom
Space group: P4/mmm, No. 123
E_form (uncorrected): 1.047 eV/atom

No. 8
First-principles (PBE) data for a relaxed TaAg2Cl crystal, as listed in Alexandria.

Lattice parameters (Å, degrees): 6.778 6.778 6.778 155.56 141.68 45.97
Atoms (fractional coordinates):
Ta (0.000, 0.000, 0.000)
Ag (0.204, 0.704, 0.500)
Ag (0.796, 0.296, 0.500)
Cl (0.500, 0.500, 0.000)

Properties
Crystal system: orthorhombic
Electronic total energy: -4.485 eV/atom
Space group: Immm, No. 71
E_form (uncorrected): 0.366 eV/atom